Record 1
## Nd3Al3Pd2 (PBE)

Data for a relaxed Nd3Al3Pd2 crystal.

Cell and atoms, written as POSCAR:
```
Nd3Al3Pd2
1.0
5.677 0.000 0.000
0.000 8.379 0.000
0.000 0.000 15.537
Nd Al Pd
12 12 8
Direct
0.117 0.460 0.389 Nd
0.617 0.040 0.611 Nd
0.883 0.540 0.889 Nd
0.383 0.960 0.111 Nd
0.883 0.540 0.611 Nd
0.383 0.960 0.389 Nd
0.117 0.460 0.111 Nd
0.617 0.040 0.889 Nd
0.610 0.316 0.250 Nd
0.110 0.184 0.750 Nd
0.390 0.684 0.750 Nd
0.890 0.816 0.250 Nd
0.100 0.166 0.250 Al
0.600 0.334 0.750 Al
0.900 0.834 0.750 Al
0.400 0.666 0.250 Al
0.608 0.317 0.465 Al
0.108 0.183 0.535 Al
0.392 0.683 0.965 Al
0.892 0.817 0.035 Al
0.392 0.683 0.535 Al
0.892 0.817 0.465 Al
0.608 0.317 0.035 Al
0.108 0.183 0.965 Al
0.874 0.103 0.396 Pd
0.374 0.397 0.604 Pd
0.126 0.897 0.896 Pd
0.626 0.603 0.104 Pd
0.126 0.897 0.604 Pd
0.626 0.603 0.396 Pd
0.874 0.103 0.104 Pd
0.374 0.397 0.896 Pd
```

- Energy above the lowest structure with this stoichiometry: 11 meV per atom
- Symmetry: Pnma, No. 62
- Calculated formation energy: -5.2 eV/f.u.



Record 2
## HfMgPO2 (PBE)

Data for a relaxed HfMgPO2 crystal.

Cell and atoms, written as POSCAR:
```
HfMgPO2
1.0
3.803 0.000 0.000
0.000 3.803 0.000
0.000 0.000 4.878
P Mg Hf O
1 1 1 2
Direct
0.000 0.000 0.500 P
0.000 0.000 0.000 Mg
0.500 0.500 0.500 Hf
0.000 0.500 0.000 O
0.500 0.000 0.000 O
```

- Energy above the lowest structure with this stoichiometry: 788 meV per atom
- Symmetry: P4/mmm, No. 123
- Formation energy without anion corrections: -0.90 eV/atom



Record 3
## MnTcBr2 (PBE)

Data for a relaxed MnTcBr2 crystal.

Cell and atoms, written as POSCAR:
```
MnTcBr2
1.0
3.413 0.000 0.000
0.000 4.122 0.014
0.000 1.745 6.962
Br Mn Tc
2 1 1
Direct
0.000 0.988 0.884 Br
0.500 0.289 0.367 Br
0.000 0.452 0.611 Mn
0.500 0.771 0.638 Tc
```

- Energy above the lowest structure with this stoichiometry: 158 meV per atom
- Symmetry: Pm, No. 6
- Formation energy without anion corrections: 0.24 eV/atom



Record 4
## Ta2MoH (PBE)

Data for a relaxed Ta2MoH crystal.

Cell and atoms, written as POSCAR:
```
Ta2MoH
1.0
-0.353 -3.057 -0.125
1.899 -1.835 1.584
-3.648 -1.367 5.784
H Mo Ta
1 1 2
Direct
0.000 0.000 0.000 H
0.500 0.500 0.500 Mo
0.269 0.269 0.193 Ta
0.731 0.731 0.807 Ta
```

- Energy above the lowest structure with this stoichiometry: 0 meV per atom
- Symmetry: R-3m, No. 166



Record 5
## TlCdAg (PBE)

Data for a relaxed TlCdAg crystal.

Cell and atoms, written as POSCAR:
```
TlCdAg
1.0
4.812 0.000 0.000
2.406 4.167 0.000
2.406 1.389 3.929
Tl Ag Cd
1 1 1
Direct
0.500 0.500 0.500 Tl
0.750 0.750 0.750 Ag
0.000 0.000 0.000 Cd
```

- Energy above the lowest structure with this stoichiometry: 24 meV per atom
- Symmetry: F-43m, No. 216
- Calculated formation energy: 0.3 eV/f.u.



Record 6
## RbLa (PBE)

Data for a relaxed RbLa crystal.

Cell and atoms, written as POSCAR:
```
RbLa
1.0
-6.281 2.498 -3.538
1.659 -4.369 -6.030
-4.043 -5.794 3.086
Rb La
4 4
Direct
0.168 0.832 0.000 Rb
0.668 0.668 0.500 Rb
0.332 0.332 0.500 Rb
0.832 0.168 0.000 Rb
0.369 0.369 0.000 La
0.869 0.131 0.500 La
0.131 0.869 0.500 La
0.631 0.631 0.000 La
```

- Symmetry: P4_2/mnm, No. 136
- Calculated formation energy: 1.8 eV/f.u.



Record 7
## Pr2Sm6YMg (PBE)

Data for a relaxed Pr2Sm6YMg crystal.

Cell and atoms, written as POSCAR:
```
Pr2Sm6YMg
1.0
0.017 -8.266 -5.144
1.539 -3.974 7.716
-8.395 1.954 -1.842
Pr Sm Y Mg
4 12 2 2
Direct
0.452 0.797 0.699 Pr
0.048 0.301 0.203 Pr
0.548 0.203 0.301 Pr
0.952 0.699 0.797 Pr
0.051 0.124 0.752 Sm
0.449 0.248 0.876 Sm
0.949 0.876 0.248 Sm
0.551 0.752 0.124 Sm
0.307 0.994 0.428 Sm
0.193 0.572 0.006 Sm
0.693 0.006 0.572 Sm
0.807 0.428 0.994 Sm
0.115 0.704 0.499 Sm
0.385 0.501 0.296 Sm
0.885 0.296 0.501 Sm
0.615 0.499 0.704 Sm
0.250 0.985 0.015 Y
0.750 0.015 0.985 Y
0.250 0.406 0.594 Mg
0.750 0.594 0.406 Mg
```

- Symmetry: C2/c, No. 15
- Calculated formation energy: 1.1 eV/f.u.



Record 8
## ThZr2Cu (PBE)

Data for a relaxed ThZr2Cu crystal.

Cell and atoms, written as POSCAR:
```
ThZr2Cu
1.0
3.339 0.000 0.000
0.000 3.339 0.000
0.000 0.000 8.042
Cu Zr Th
1 2 1
Direct
0.500 0.500 0.000 Cu
0.000 0.000 0.801 Zr
0.000 0.000 0.199 Zr
0.500 0.500 0.500 Th
```

- Energy above the lowest structure with this stoichiometry: 0 meV per atom
- Symmetry: P4/mmm, No. 123
- Calculated formation energy: -0.1 eV/f.u.



Record 9
## In4Ir (PBE)

Data for a relaxed In4Ir crystal.

Cell and atoms, written as POSCAR:
```
In4Ir
1.0
5.463 0.000 0.000
-1.821 5.151 0.000
-1.821 -2.575 4.461
In Ir
4 1
Direct
0.500 0.500 0.500 In
0.500 0.000 0.000 In
0.000 0.000 0.500 In
0.000 0.500 0.000 In
0.000 0.000 0.000 Ir
```

- Energy above the lowest structure with this stoichiometry: 25 meV per atom
- Symmetry: Im-3m, No. 229
- Calculated formation energy: 0.0 eV/f.u.



Record 10
## Mg2AlNi2 (PBE)

Data for a relaxed Mg2AlNi2 crystal.

Cell and atoms, written as POSCAR:
```
Mg2AlNi2
1.0
-4.131 2.663 3.736
-2.948 -5.393 0.585
2.302 -0.911 3.195
Ni Mg Al
4 4 2
Direct
0.363 0.863 0.000 Ni
0.863 0.637 0.000 Ni
0.637 0.137 0.000 Ni
0.137 0.363 0.000 Ni
0.167 0.667 0.500 Mg
0.667 0.833 0.500 Mg
0.833 0.333 0.500 Mg
0.333 0.167 0.500 Mg
0.000 0.000 0.000 Al
0.500 0.500 0.000 Al
```

- Symmetry: P4/mbm, No. 127
- Calculated formation energy: -1.3 eV/f.u.



Record 11
## Tm2TiO5 (PBE)

Data for a relaxed Tm2TiO5 crystal.

Cell and atoms, written as POSCAR:
```
Tm2TiO5
1.0
-2.245 -2.122 4.915
-0.287 -0.924 -5.724
7.896 -6.750 0.693
Tm Ti O
4 2 10
Direct
0.144 0.856 0.931 Tm
0.144 0.856 0.569 Tm
0.856 0.144 0.069 Tm
0.856 0.144 0.431 Tm
0.171 0.829 0.250 Ti
0.829 0.171 0.750 Ti
0.050 0.950 0.377 O
0.050 0.950 0.123 O
0.709 0.291 0.910 O
0.709 0.291 0.590 O
0.273 0.727 0.750 O
0.727 0.273 0.250 O
0.291 0.709 0.090 O
0.291 0.709 0.410 O
0.950 0.050 0.623 O
0.950 0.050 0.877 O
```

- Energy above the lowest structure with this stoichiometry: 62 meV per atom
- Symmetry: Cmcm, No. 63
- Formation energy without anion corrections: -3.42 eV/atom



Record 12
## ScMn2Al (PBE)

Data for a relaxed ScMn2Al crystal.

Cell and atoms, written as POSCAR:
```
ScMn2Al
1.0
7.028 0.000 0.000
0.000 7.028 0.000
3.514 3.514 2.748
Sc Mn Al
2 4 2
Direct
0.000 0.000 0.000 Sc
0.750 0.250 0.500 Sc
0.603 0.125 0.250 Mn
0.147 0.625 0.250 Mn
0.375 0.397 0.750 Mn
0.875 0.853 0.750 Mn
0.500 0.500 0.000 Al
0.250 0.750 0.500 Al
```

- Symmetry: I-42d, No. 122
- Calculated formation energy: 1.5 eV/f.u.



Mass density for every record listed, in sequence, given in g cm⁻³: 6.53 6.26 5.31 13.76 8.95 3.32 6.45 8.85 8.62 4.16 6.75 4.45.
DFT total energy for every record listed, in sequence, given in eV/atom: -5.141 -6.276 -5.478 -9.322 -1.943 -2.048 -4.485 -7.172 -3.955 -3.964 -8.623 -6.740.
Magnetic moment for every record listed, in sequence, given in μB/atom: 0.000 0.164 0.000 0.000 0.000 0.010 0.000 0.000 0.000 0.000 0.000 1.323.